First-principles (GGA-PBE) data for a relaxed structure of LiTbPrSc, as listed in Alexandria via LeMat-Bulk.

abc: 5.4228 5.4228 5.4228
angles: 60.00 60.00 60.00
Last column: nearest neighbours and their distance in Å.
Fractional coordinates of all 4 atoms:
1 Li 0.0000 0.0000 0.0000  4 Tb 3.32, 4 Pr 3.32
2 Tb 0.2500 0.2500 0.2500  4 Li 3.32, 4 Sc 3.32
3 Pr 0.7500 0.7500 0.7500  4 Sc 3.32, 4 Li 3.32
4 Sc 0.5000 0.5000 0.5000  4 Tb 3.32, 4 Pr 3.32

Its theoretical density is 5.18 g/cm3. The magnetization comes out at 0.00 μB per formula unit. The formation energy is 143 meV per atom.



First-principles (GGA-PBE) data for a relaxed structure of Si3HgRh, as listed in Alexandria via LeMat-Bulk.

abc: 4.6864 4.6864 4.6864
angles: 90.00 90.00 90.00
Last column: nearest neighbours and their distance in Å.
Fractional coordinates of all 5 atoms:
1 Si 0.0000 0.0000 0.5000  2 Rh 2.34
2 Si 0.0000 0.5000 0.0000  2 Rh 2.34
3 Si 0.5000 0.0000 0.0000  2 Rh 2.34
4 Hg 0.5000 0.5000 0.5000  12 Si 3.31
5 Rh 0.0000 0.0000 0.0000  6 Si 2.34

Its theoretical density is 6.26 g/cm3. The value obtained for the formation energy (no corrections) is 35.2 kJ/mol of atoms. The energy relative to the lowest polymorph listed for this composition is 0.000 eV per formula unit. The magnetization comes out at 0.00 μB per formula unit.



First-principles (GGA-PBE) data for a relaxed structure of LiFe2Rh3, as listed in Alexandria via LeMat-Bulk.

abc: 6.6150 6.6150 5.9103
angles: 90.00 90.00 143.04
Last column: nearest neighbours and their distance in Å.
Fractional coordinates of all 12 atoms:
1 Li 0.1669 0.8331 0.0000  8 Rh 2.55-2.57
2 Li 0.8331 0.1669 0.0000  8 Rh 2.55-2.57
3 Fe 0.1637 0.8363 0.5000  8 Rh 2.55-2.60
4 Fe 0.5000 0.5000 0.0000  8 Rh 2.55-2.56
5 Fe 0.5000 0.5000 0.5000  8 Rh 2.55-2.58
6 Fe 0.8363 0.1637 0.5000  8 Rh 2.55-2.60
7 Rh 0.0000 0.0000 0.2449  2 Li 2.55, 6 Fe 2.55-2.58
8 Rh 0.0000 0.0000 0.7551  2 Li 2.55, 6 Fe 2.55-2.58
9 Rh 0.3340 0.6660 0.2505  5 Fe 2.55-2.60, 3 Li 2.57
10 Rh 0.3340 0.6660 0.7495  5 Fe 2.55-2.60, 3 Li 2.57
11 Rh 0.6660 0.3340 0.2505  5 Fe 2.55-2.60, 3 Li 2.57
12 Rh 0.6660 0.3340 0.7495  5 Fe 2.55-2.60, 3 Li 2.57

Its theoretical density is 9.13 g/cm3. The magnetization comes out at 6.19 μB per formula unit. The formation energy is -27 meV per atom.



First-principles (GGA-PBE) data for a relaxed structure of Dy3Y3Er2, as listed in Alexandria via LeMat-Bulk.

abc: 6.4305 6.4305 6.4305
angles: 89.92 89.92 89.92
Last column: nearest neighbours and their distance in Å.
Fractional coordinates of all 8 atoms:
1 Dy 0.0000 0.7493 0.2507  2 Y 3.22, 4 Er 3.58-3.59
2 Dy 0.2507 0.0000 0.7493  2 Y 3.22, 4 Er 3.58-3.59
3 Dy 0.7493 0.2507 0.0000  2 Y 3.22, 4 Er 3.58-3.59
4 Y 0.2512 0.5000 0.7488  2 Dy 3.22, 2 Er 3.59
5 Y 0.5000 0.7488 0.2512  2 Dy 3.22, 2 Er 3.59
6 Y 0.7488 0.2512 0.5000  2 Dy 3.22, 2 Er 3.59
7 Er 0.2481 0.2481 0.2481  6 Dy 3.58-3.59, 6 Y 3.59-3.61
8 Er 0.7519 0.7519 0.7519  6 Dy 3.58-3.59, 6 Y 3.59-3.61

Its theoretical density is 6.80 g/cm3. The energy relative to the lowest polymorph listed for this composition is 1.210 eV per formula unit. The magnetization comes out at 7.16 μB per formula unit. The formation energy is 247 meV per atom.



First-principles (GGA-PBE) data for a relaxed structure of Tb4Rh2Au, as listed in Alexandria via LeMat-Bulk.

abc: 7.6117 7.5550 8.8096
angles: 54.79 54.19 71.02
Last column: nearest neighbours and their distance in Å.
Fractional coordinates of all 14 atoms:
1 Tb 0.0765 0.2104 0.0390  2 Rh 2.75-2.85, 1 Au 2.93
2 Tb 0.2104 0.0765 0.6742  2 Rh 2.75-2.85, 1 Au 2.93
3 Tb 0.2110 0.5758 0.1735  2 Rh 2.75-2.85, 1 Au 2.93
4 Tb 0.3182 0.6818 0.4384  2 Rh 2.75-2.84, 1 Au 2.92
5 Tb 0.5758 0.2110 0.0396  2 Rh 2.75-2.85, 1 Au 2.93
6 Tb 0.6818 0.3182 0.5616  2 Rh 2.75-2.84, 1 Au 2.92
7 Tb 0.6884 0.8116 0.5682  2 Rh 2.75-2.84, 1 Au 2.92
8 Tb 0.8116 0.6884 0.9318  2 Rh 2.75-2.84, 1 Au 2.92
9 Rh 0.3190 0.5761 0.8040  4 Tb 2.75-2.85
10 Rh 0.4460 0.9491 0.9310  4 Tb 2.75-2.85
11 Rh 0.5761 0.3190 0.3009  4 Tb 2.75-2.85
12 Rh 0.9491 0.4460 0.6739  4 Tb 2.75-2.85
13 Au 0.0739 0.0739 0.4261  6 Tb 2.92-3.25
14 Au 0.8239 0.8239 0.1761  6 Tb 2.92-3.25

Its theoretical density is 10.28 g/cm3. The magnetization comes out at 0.00 μB per formula unit. The formation energy is -739 meV per atom.



First-principles (GGA-PBE) data for a relaxed structure of Ho3NbRu4, as listed in Alexandria via LeMat-Bulk.

abc: 3.3052 3.3052 13.5437
angles: 90.00 90.00 90.00
Last column: nearest neighbours and their distance in Å.
Fractional coordinates of all 8 atoms:
1 Ho 0.0000 0.0000 0.0000  8 Ru 2.91
2 Ho 0.0000 0.0000 0.2509  8 Ru 2.86-3.01
3 Ho 0.0000 0.0000 0.7491  8 Ru 2.86-3.01
4 Nb 0.0000 0.0000 0.5000  8 Ru 2.76
5 Ru 0.5000 0.5000 0.1286  8 Ho 2.86-2.91
6 Ru 0.5000 0.5000 0.3909  4 Nb 2.76, 1 Ru 2.95, 4 Ho 3.01
7 Ru 0.5000 0.5000 0.6091  4 Nb 2.76, 1 Ru 2.95, 4 Ho 3.01
8 Ru 0.5000 0.5000 0.8714  8 Ho 2.86-2.91

Its theoretical density is 11.13 g/cm3. The magnetization comes out at 0.00 μB per formula unit. The formation energy is -374 meV per atom.